The following is a DFT calculation (PBE-GGA) of a relaxed BeTlTc2 crystal.

Values from the calculation:
Density in g cm⁻³: 11.11
Calculated volume in Å³ per atom: 15.3
E_tot in eV for the cell shown: -23.7
Fermi-level density of states in states/eV per cell: 5.28

```
data_BeTlTc2
_chemical_formula_sum 'Be1 Tl1 Tc2'
_cell_length_a 4.2546
_cell_length_b 4.2546
_cell_length_c 3.3818
_cell_angle_alpha 90.00
_cell_angle_beta 90.00
_cell_angle_gamma 90.00
_space_group_name_H-M_alt 'P 4/m m m'
_space_group_IT_number 123
_space_group_name_Hall '-P 4 2'
loop_
_atom_site_label
_atom_site_fract_x
_atom_site_fract_y
_atom_site_fract_z
_atom_site_occupancy
Be1 0.0000 0.0000 0.0000 1
Tl1 0.5000 0.5000 0.0000 1
Tc1 0.0000 0.5000 0.5000 1
```

The following is a DFT calculation (PBE-GGA) of a relaxed Be4TlTc crystal.

Values from the calculation:
Density in g cm⁻³: 8.22
Calculated volume in Å³ per atom: 11.4
E_tot in eV for the cell shown: -104.3
Fermi-level density of states in states/eV per cell: 21.19

```
data_Be4TlTc
_chemical_formula_sum 'Be16 Tl4 Tc4'
_cell_length_a 6.4913
_cell_length_b 6.4913
_cell_length_c 6.4913
_cell_angle_alpha 90.00
_cell_angle_beta 90.00
_cell_angle_gamma 90.00
_space_group_name_H-M_alt 'F -4 3 m'
_space_group_IT_number 216
_space_group_name_Hall 'F -4 2 3'
loop_
_atom_site_label
_atom_site_fract_x
_atom_site_fract_y
_atom_site_fract_z
_atom_site_occupancy
Be1 0.1206 0.1206 0.1206 1
Tl1 0.0000 0.0000 0.5000 1
Tc1 0.2500 0.2500 0.7500 1
```

The following is a DFT calculation (PBE-GGA) of a relaxed BeTl2Tc crystal.

Values from the calculation:
Density in g cm⁻³: 11.81
Calculated volume in Å³ per atom: 18.1
E_tot in eV for the cell shown: -31.9
Fermi-level density of states in states/eV per cell: 2.46

```
data_BeTl2Tc
_chemical_formula_sum 'Be2 Tl4 Tc2'
_cell_length_a 3.9876
_cell_length_b 3.9876
_cell_length_c 9.1239
_cell_angle_alpha 90.00
_cell_angle_beta 90.00
_cell_angle_gamma 90.00
_space_group_name_H-M_alt 'I -4 m 2'
_space_group_IT_number 119
_space_group_name_Hall 'I -4 -2'
loop_
_atom_site_label
_atom_site_fract_x
_atom_site_fract_y
_atom_site_fract_z
_atom_site_occupancy
Be1 0.0000 0.0000 0.0000 1
Tl1 0.0000 0.0000 0.5000 1
Tl2 0.0000 0.5000 0.2500 1
Tc1 0.0000 0.5000 0.7500 1
```

Repeat the second record exactly.
The following is a DFT calculation (PBE-GGA) of a relaxed Be4TlTc crystal.

Values from the calculation:
Density in g cm⁻³: 8.22
Calculated volume in Å³ per atom: 11.4
E_tot in eV for the cell shown: -104.3
Fermi-level density of states in states/eV per cell: 21.19

```
data_Be4TlTc
_chemical_formula_sum 'Be16 Tl4 Tc4'
_cell_length_a 6.4913
_cell_length_b 6.4913
_cell_length_c 6.4913
_cell_angle_alpha 90.00
_cell_angle_beta 90.00
_cell_angle_gamma 90.00
_space_group_name_H-M_alt 'F -4 3 m'
_space_group_IT_number 216
_space_group_name_Hall 'F -4 2 3'
loop_
_atom_site_label
_atom_site_fract_x
_atom_site_fract_y
_atom_site_fract_z
_atom_site_occupancy
Be1 0.1206 0.1206 0.1206 1
Tl1 0.0000 0.0000 0.5000 1
Tc1 0.2500 0.2500 0.7500 1
```

> Number 2 is which compound?

Be4TlTc

> What is the formula in the second record?

Be4TlTc

> Which formula does entry 3 have?

BeTl2Tc